a.
Density functional theory data (PBE-GGA) for Y3TeRu after structural relaxation.

Cell lengths 16.730, 4.289, 9.532 Å; angles 90.00, 122.05, 90.00 degrees
Space group C2/m (No. 12)
One atom of each set of equivalent atoms:
Y1 0.038 0.000 0.198 (multiplicity 4)
Y2 0.156 0.500 0.864 (multiplicity 4)
Y3 0.230 0.500 0.289 (multiplicity 4)
Te1 0.113 0.500 0.474 (multiplicity 4)
Ru1 0.152 0.000 0.056 (multiplicity 4)

b.
Density functional theory data (PBE-GGA) for Y3TeRu after structural relaxation.

Cell lengths 5.334, 5.334, 5.334 Å; angles 90.00, 90.00, 90.00 degrees
Space group Pm-3m (No. 221)
One atom of each set of equivalent atoms:
Y1 0.000 0.000 0.500 (multiplicity 3)
Te1 0.500 0.500 0.500 (multiplicity 1)
Ru1 0.000 0.000 0.000 (multiplicity 1)

Energy above the most stable structure, in meV per atom: a 0; b 273

a.
Density functional theory data (PBE-GGA) for ZnTeRu2 after structural relaxation.

Cell lengths 3.008, 4.287, 5.488 Å; angles 90.00, 100.65, 90.00 degrees
Space group P2/m (No. 10)
One atom of each set of equivalent atoms:
Zn1 0.000 0.000 0.000 (multiplicity 1)
Te1 0.500 0.000 0.500 (multiplicity 1)
Ru1 0.359 0.500 0.207 (multiplicity 2)

b.
Density functional theory data (PBE-GGA) for ZnTeRu2 after structural relaxation.

Cell lengths 8.345, 3.094, 5.109 Å; angles 90.00, 101.30, 90.00 degrees
Space group C2/m (No. 12)
One atom of each set of equivalent atoms:
Zn1 0.000 0.000 0.000 (multiplicity 2)
Te1 0.000 0.500 0.500 (multiplicity 2)
Ru1 0.249 0.000 0.752 (multiplicity 4)

c.
Density functional theory data (PBE-GGA) for ZnTeRu2 after structural relaxation.

Cell lengths 3.120, 4.663, 4.466 Å; angles 90.00, 90.00, 90.00 degrees
Space group Pmm2 (No. 25)
One atom of each set of equivalent atoms:
Zn1 0.000 0.000 0.000 (multiplicity 1)
Te1 0.500 0.500 0.227 (multiplicity 1)
Ru1 0.000 0.500 0.723 (multiplicity 1)
Ru2 0.500 0.000 0.519 (multiplicity 1)

Energy above the most stable structure, in meV per atom: a 154; b 0; c 19

a.
Density functional theory data (PBE-GGA) for ZnTeRu2 after structural relaxation.

Cell lengths 3.028, 3.028, 8.147 Å; angles 90.00, 90.00, 90.00 degrees
Space group P4mm (No. 99)
One atom of each set of equivalent atoms:
Zn1 0.000 0.000 0.000 (multiplicity 1)
Te1 0.500 0.500 0.602 (multiplicity 1)
Ru1 0.000 0.000 0.390 (multiplicity 1)
Ru2 0.500 0.500 0.181 (multiplicity 1)

b.
Density functional theory data (PBE-GGA) for ZnTeRu2 after structural relaxation.

Cell lengths 3.1447, 3.1447, 23.2537 Å; angles 90.00, 90.00, 120.00 degrees
Space group R-3m (No. 166, hexagonal axes)
One atom of each set of equivalent atoms:
Zn1 0.0000 0.0000 0.0000 (multiplicity 3)
Te1 0.0000 0.0000 0.5000 (multiplicity 3)
Ru1 0.0000 0.0000 0.2499 (multiplicity 6)

c.
Density functional theory data (PBE-GGA) for ZnTeRu2 after structural relaxation.

Cell lengths 6.407, 6.407, 6.407 Å; angles 90.00, 90.00, 90.00 degrees
Space group F-43m (No. 216)
One atom of each set of equivalent atoms:
Zn1 0.000 0.000 0.000 (multiplicity 4)
Te1 0.250 0.250 0.750 (multiplicity 4)
Ru1 0.000 0.000 0.500 (multiplicity 4)
Ru2 0.250 0.250 0.250 (multiplicity 4)

d.
Density functional theory data (PBE-GGA) for ZnTeRu2 after structural relaxation.

Cell lengths 3.413, 3.413, 5.674 Å; angles 90.00, 90.00, 90.00 degrees
Space group P4mm (No. 99)
One atom of each set of equivalent atoms:
Zn1 0.000 0.000 0.000 (multiplicity 1)
Te1 0.500 0.500 0.679 (multiplicity 1)
Ru1 0.000 0.000 0.470 (multiplicity 1)
Ru2 0.500 0.500 0.163 (multiplicity 1)

Energy above the most stable structure, in meV per atom: a 0; b 54; c 207; d 32

a.
Density functional theory data (PBE-GGA) for ZnTeRu2 after structural relaxation.

Cell lengths 3.086, 3.957, 11.181 Å; angles 90.00, 90.00, 90.00 degrees
Space group Imm2 (No. 44)
One atom of each set of equivalent atoms:
Zn1 0.000 0.000 0.000 (multiplicity 2)
Te1 0.000 0.500 0.247 (multiplicity 2)
Ru1 0.000 0.000 0.560 (multiplicity 2)
Ru2 0.000 0.500 0.834 (multiplicity 2)

b.
Density functional theory data (PBE-GGA) for ZnTeRu2 after structural relaxation.

Cell lengths 9.414, 3.123, 4.536 Å; angles 90.00, 107.03, 90.00 degrees
Space group Cm (No. 8)
One atom of each set of equivalent atoms:
Zn1 0.000 0.000 0.000 (multiplicity 2)
Te1 0.263 0.500 0.385 (multiplicity 2)
Ru1 0.004 0.500 0.508 (multiplicity 2)
Ru2 0.260 0.000 0.904 (multiplicity 2)

Energy above the most stable structure, in meV per atom: a 77; b 0

a.
Density functional theory data (PBE-GGA) for ZnTeRu2 after structural relaxation.

Cell lengths 6.277, 6.277, 6.277 Å; angles 90.00, 90.00, 90.00 degrees
Space group Fm-3m (No. 225)
One atom of each set of equivalent atoms:
Zn1 0.000 0.000 0.000 (multiplicity 4)
Te1 0.000 0.000 0.500 (multiplicity 4)
Ru1 0.250 0.250 0.250 (multiplicity 8)

b.
Density functional theory data (PBE-GGA) for ZnTeRu2 after structural relaxation.

Cell lengths 5.915, 5.915, 10.560 Å; angles 90.00, 90.00, 90.00 degrees
Space group I-42d (No. 122)
One atom of each set of equivalent atoms:
Zn1 0.000 0.000 0.000 (multiplicity 4)
Te1 0.000 0.000 0.500 (multiplicity 4)
Ru1 0.243 0.250 0.125 (multiplicity 8)

Energy above the most stable structure, in meV per atom: a 0; b 806

a.
Density functional theory data (PBE-GGA) for ZnTeRu3 after structural relaxation.

Cell lengths 4.793, 4.793, 4.793 Å; angles 90.00, 90.00, 90.00 degrees
Space group Pm-3m (No. 221)
One atom of each set of equivalent atoms:
Zn1 0.000 0.000 0.000 (multiplicity 1)
Te1 0.500 0.500 0.500 (multiplicity 1)
Ru1 0.000 0.500 0.500 (multiplicity 3)

b.
Density functional theory data (PBE-GGA) for ZnTeRu3 after structural relaxation.

Cell lengths 4.536, 4.536, 4.536 Å; angles 90.00, 90.00, 90.00 degrees
Space group Pm-3m (No. 221)
One atom of each set of equivalent atoms:
Zn1 0.000 0.000 0.000 (multiplicity 1)
Te1 0.500 0.500 0.500 (multiplicity 1)
Ru1 0.000 0.000 0.500 (multiplicity 3)

Energy above the most stable structure, in meV per atom: a 109; b 0